1.
Computed, not measured: a relaxed Rb2AlTlRu crystal at the PBEsol level of DFT.

Computed properties:
The value obtained for the raw total energy is -13.5 eV/cell. For the formation energy, the calculation gives 5.43 eV/f.u. For the magnetization, the calculation gives 0.00 μB/atom.

Lattice parameters (Å, degrees): 5.728 5.728 5.258 90.00 90.00 90.00
Fractional coordinates of all 5 atoms:
Rb 0.000 0.500 0.000
Rb 0.500 0.000 0.000
Al 0.000 0.000 0.500
Tl 0.500 0.500 0.500
Ru 0.500 0.500 0.000

---

2.
Computed, not measured: a relaxed La2BeAuF crystal at the PBEsol level of DFT.

Computed properties:
The value obtained for the raw total energy is -23.4 eV/cell. The calculation puts the raw formation energy at -13.2 kcal/mol of atoms. For the magnetization, the calculation gives 0.00 μB/atom.

Lattice parameters (Å, degrees): 5.407 5.407 4.151 90.00 90.00 90.00
Fractional coordinates of all 5 atoms:
La 0.000 0.500 0.000
La 0.500 0.000 0.000
Be 0.000 0.000 0.000
Au 0.000 0.000 0.500
F 0.500 0.500 0.500